[1]
Below is an optimized crystal structure of NdThWN4, with properties calculated at the PBE level.

Calculated values
* total magnetic moment: 0.000 μB/atom
* E_form (uncorrected): -1.18 eV per atom

Cell lengths 5.607, 12.628, 5.589 Å; angles 90.00, 90.00, 90.00 degrees
Space group Cmcm (No. 63)
One atom of each set of equivalent atoms:
Nd 0.000 0.104 0.250 x4
Th 0.000 0.394 0.250 x4
W 0.000 0.244 0.750 x4
N 0.000 0.082 0.750 x4
N 0.000 0.424 0.750 x4
N 0.250 0.250 0.000 x8

***

[2]
Below is an optimized crystal structure of VTcB, with properties calculated at the PBE level.

Calculated values
* total magnetic moment: 0.000 μB/atom
* energy above the most stable polymorph in this dataset: 0.000 eV per atom
* formation enthalpy at 0 K: -530 meV/atom

Cell lengths 3.045, 14.407, 3.001 Å; angles 90.00, 90.00, 90.00 degrees
Space group Cmcm (No. 63)
One atom of each set of equivalent atoms:
V 0.000 0.082 0.250 x4
Tc 0.000 0.305 0.250 x4
B 0.000 0.466 0.250 x4

***

[3]
Below is an optimized crystal structure of K2LaPmS4, with properties calculated at the PBE level.

Calculated values
* total magnetic moment: 0.000 μB/atom
* E_form (uncorrected): -1.89 eV per atom

Cell lengths 7.329, 4.229, 7.773 Å; angles 90.00, 108.29, 90.00 degrees
Space group P2/m (No. 10)
One atom of each set of equivalent atoms:
K 0.000 0.000 0.000 x1
K 0.500 0.500 0.000 x1
La 0.000 0.500 0.500 x1
Pm 0.500 0.000 0.500 x1
S 0.241 0.000 0.708 x2
S 0.269 0.500 0.294 x2

***

[4]
Below is an optimized crystal structure of LaRh2Au, with properties calculated at the PBE level.

Calculated values
* total magnetic moment: 0.000 μB/atom
* formation enthalpy at 0 K: -475 meV/atom

Cell lengths 4.339, 4.339, 4.002 Å; angles 90.00, 90.00, 90.00 degrees
Space group P4/mmm (No. 123)
One atom of each set of equivalent atoms:
La 0.000 0.000 0.000 x1
Rh 0.000 0.500 0.500 x2
Au 0.500 0.500 0.000 x1